Below is a relaxed Mn3O5F crystal, with properties calculated at the PBE with a Hubbard U level.

For the spin magnetization, the calculation gives 10.00 μB per formula unit. For the density, the calculation gives 4.7 Mg/m³. For the total energy, the calculation gives -125.13 eV per cell. As for the space-group type: P1. The energy above the most stable polymorph in this dataset comes out at 13 meV/atom.

a b c (Å): 4.548 5.459 7.553
angles (deg): 86.51 89.92 89.86
Fractional positions:
Mn  0.000  0.000  0.000
Mn  0.001  0.648  0.310
Mn  0.003  0.310  0.659
Mn  0.507  0.152  0.327
Mn  0.513  0.475  0.990
Mn  0.538  0.829  0.651
O  0.200  0.283  0.890
O  0.211  0.941  0.219
O  0.317  0.446  0.221
O  0.320  0.115  0.557
O  0.702  0.187  0.097
O  0.704  0.526  0.756
O  0.712  0.858  0.421
O  0.817  0.356  0.423
O  0.819  0.690  0.086
O  0.821  0.024  0.765
F  0.205  0.618  0.552
F  0.311  0.789  0.885